The following is a DFT calculation (meta-GGA SCAN) of a PBEsol-optimized structure of Sc2BeMo.

a = 2.941 Å, b = 3.515 Å, c = 6.446 Å
α = 90.00°, β = 90.00°, γ = 90.00°
Fractional coordinates of all 4 atoms:
Sc (0.000, 0.000, 0.761)
Sc (0.000, 0.000, 0.239)
Be (0.500, 0.500, 0.000)
Mo (0.500, 0.500, 0.500)

Summary:
DOS(E_F) ... 2.93 states/eV/cell
Calculated formation energy ... 60.2 kJ/mol of formula units
Space group ... No. 47